Density functional theory data (PBE-GGA) for a relaxed CaBeCd2 crystal.

Geometry as CIF:
```
data_CaBeCd2
_chemical_formula_sum 'Ca4 Be4 Cd8'
_cell_length_a 5.129
_cell_length_b 5.129
_cell_length_c 16.574
_cell_angle_alpha 90.00
_cell_angle_beta 90.00
_cell_angle_gamma 90.00
_symmetry_space_group_name_H-M 'I -4 2 d'
_symmetry_Int_Tables_number 122
_symmetry_space_group_name_Hall 'I -4 2bw'
loop_
_atom_site_label
_atom_site_type_symbol
_atom_site_fract_x
_atom_site_fract_y
_atom_site_fract_z
_atom_site_occupancy
Ca1 Ca 0.000 0.000 0.000 1
Be1 Be 0.000 0.000 0.500 1
Cd1 Cd 0.085 0.250 0.625 1
```

DFT formation energy, kJ/mol of formula units: 107

---

Density functional theory data (PBE-GGA) for a relaxed CaBe2Cd2 crystal.

Geometry as CIF:
```
data_CaBe2Cd2
_chemical_formula_sum 'Ca2 Be4 Cd4'
_cell_length_a 4.382
_cell_length_b 4.382
_cell_length_c 10.142
_cell_angle_alpha 90.00
_cell_angle_beta 90.00
_cell_angle_gamma 90.00
_symmetry_space_group_name_H-M 'I 4/m m m'
_symmetry_Int_Tables_number 139
_symmetry_space_group_name_Hall '-I 4 2'
loop_
_atom_site_label
_atom_site_type_symbol
_atom_site_fract_x
_atom_site_fract_y
_atom_site_fract_z
_atom_site_occupancy
Ca1 Ca 0.000 0.000 0.000 1
Be1 Be 0.000 0.500 0.250 1
Cd1 Cd 0.000 0.000 0.360 1
```

DFT formation energy, kJ/mol of formula units: 79
Distance to the lowest polymorph of the same formula, meV per atom: 0.0

---

Density functional theory data (PBE-GGA) for a relaxed Ca2BeCd crystal.

Geometry as CIF:
```
data_Ca2BeCd
_chemical_formula_sum 'Ca2 Be1 Cd1'
_cell_length_a 4.197
_cell_length_b 4.475
_cell_length_c 6.079
_cell_angle_alpha 90.00
_cell_angle_beta 110.02
_cell_angle_gamma 90.00
_symmetry_space_group_name_H-M 'P 1 m 1'
_symmetry_Int_Tables_number 6
loop_
_symmetry_equiv_pos_as_xyz
'x,y,z'
'x,-y,z'
loop_
_atom_site_label
_atom_site_type_symbol
_atom_site_fract_x
_atom_site_fract_y
_atom_site_fract_z
_atom_site_occupancy
Ca1 Ca 0.000 0.000 0.000 1
Ca2 Ca 0.296 0.500 0.594 1
Be1 Be 0.706 0.000 0.415 1
Cd1 Cd 0.592 0.500 0.183 1
```

DFT formation energy, kJ/mol of formula units: 13
Distance to the lowest polymorph of the same formula, meV per atom: 0.0